Entry 1:
{
  "formula": "CaAlOF2",
  "functional": "GGA-PBE",
  "state": "optimized geometry",
  "e_above_lowest_polymorph_mev_per_atom": 678.3,
  "raw_formation_energy_ev_per_fu": -9.76,
  "mass_density_g_cm3": 2.390,
  "sg": "P4/mmm",
  "lattice_angstrom": [[4.226, 0.000, 0.000], [0.000, 4.226, 0.000], [0.000, 0.000, 4.708]],
  "species": ["Ca", "Al", "O", "F", "F"],
  "fractional_positions": [[0.000, 0.000, 0.000], [0.500, 0.500, 0.500], [0.000, 0.000, 0.500], [0.000, 0.500, 0.000], [0.500, 0.000, 0.000]]
}

***

Entry 2:
{
  "formula": "CaAlO2F4",
  "functional": "GGA-PBE",
  "state": "optimized geometry",
  "raw_formation_energy_ev_per_fu": -20.49,
  "mass_density_g_cm3": 2.645,
  "sg": "P-1",
  "lattice_angstrom": [[-4.520, 1.990, 0.489], [-0.108, -6.393, 2.306], [2.205, 3.231, 5.816]],
  "species": ["O", "O", "O", "O", "F", "F", "F", "F", "F", "F", "F", "F", "Ca", "Ca", "Al", "Al"],
  "fractional_positions": [[0.172, 0.740, 0.766], [0.866, 0.007, 0.460], [0.134, 0.993, 0.540], [0.828, 0.260, 0.234], [0.239, 0.655, 0.278], [0.804, 0.006, 0.828], [0.761, 0.345, 0.722], [0.258, 0.343, 0.906], [0.742, 0.657, 0.094], [0.196, 0.994, 0.172], [0.242, 0.389, 0.563], [0.758, 0.611, 0.437], [0.363, 0.356, 0.233], [0.637, 0.644, 0.767], [0.996, 0.790, 0.294], [0.004, 0.210, 0.706]]
}

***

Entry 3:
{
  "formula": "CaAlO2F",
  "functional": "GGA-PBE",
  "state": "optimized geometry",
  "raw_formation_energy_ev_per_fu": -6.06,
  "mass_density_g_cm3": 2.426,
  "sg": "P4/mmm",
  "lattice_angstrom": [[4.394, 0.000, 0.000], [0.000, 4.394, 0.000], [0.000, 0.000, 4.185]],
  "species": ["O", "O", "Ca", "Al", "F"],
  "fractional_positions": [[0.500, 0.000, 0.000], [0.000, 0.500, 0.000], [0.000, 0.000, 0.000], [0.500, 0.500, 0.500], [0.000, 0.000, 0.500]]
}

***

Entry 4:
{
  "formula": "CaAl2O2F6",
  "functional": "GGA-PBE",
  "state": "optimized geometry",
  "raw_formation_energy_ev_per_fu": -32.29,
  "mass_density_g_cm3": 2.743,
  "sg": "C2/c",
  "lattice_angstrom": [[5.597, 3.382, -0.023], [-5.597, 3.382, -0.023], [0.000, 0.444, 7.674]],
  "species": ["Al", "Al", "Al", "Al", "F", "F", "F", "F", "F", "F", "F", "F", "F", "F", "F", "F", "O", "O", "O", "O", "Ca", "Ca"],
  "fractional_positions": [[0.367, 0.633, 0.250], [0.633, 0.367, 0.750], [0.000, 0.500, 0.000], [0.500, 0.000, 0.500], [0.662, 0.728, 0.209], [0.272, 0.338, 0.291], [0.047, 0.798, 0.963], [0.798, 0.047, 0.463], [0.338, 0.272, 0.791], [0.314, 0.612, 0.008], [0.612, 0.314, 0.508], [0.728, 0.662, 0.709], [0.202, 0.953, 0.537], [0.388, 0.686, 0.492], [0.953, 0.202, 0.037], [0.686, 0.388, 0.992], [0.945, 0.405, 0.763], [0.595, 0.055, 0.737], [0.405, 0.945, 0.263], [0.055, 0.595, 0.237], [0.030, 0.970, 0.250], [0.970, 0.030, 0.750]]
}

***

Entry 5:
{
  "formula": "CaAlOF2",
  "functional": "GGA-PBE",
  "state": "optimized geometry",
  "e_above_lowest_polymorph_mev_per_atom": 0.0,
  "raw_formation_energy_ev_per_fu": -13.15,
  "mass_density_g_cm3": 3.165,
  "sg": "P4/mmm",
  "lattice_angstrom": [[-1.117, 3.046, 2.655], [-3.793, -1.741, 0.401], [1.201, -1.978, 2.775]],
  "species": ["Ca", "F", "F", "Al", "O"],
  "fractional_positions": [[0.500, 0.500, 0.500], [0.000, 0.500, 0.000], [0.500, 0.000, 0.000], [0.000, 0.000, 0.000], [0.000, 0.000, 0.500]]
}

***

Entry 6:
{
  "formula": "Ca2AlPbOF8",
  "functional": "GGA-PBE",
  "state": "optimized geometry",
  "raw_formation_energy_ev_per_fu": -41.83,
  "mass_density_g_cm3": 4.442,
  "sg": "P1",
  "lattice_angstrom": [[5.532, 0.001, 0.001], [-0.424, 5.522, 0.004], [-2.561, -0.212, 11.806]],
  "species": ["F", "F", "F", "F", "F", "F", "F", "F", "F", "F", "F", "F", "F", "F", "F", "F", "Pb", "Pb", "Ca", "Ca", "Ca", "Ca", "Al", "Al", "O", "O"],
  "fractional_positions": [[0.159, 0.427, 0.902], [0.087, 0.395, 0.266], [0.918, 0.609, 0.720], [0.642, 0.497, 0.264], [0.519, 0.791, 0.903], [0.241, 0.030, 0.508], [0.480, 0.205, 0.090], [0.250, 0.941, 0.722], [0.745, 0.053, 0.270], [0.738, 0.505, 0.501], [0.835, 0.559, 0.086], [0.366, 0.499, 0.731], [0.240, 0.524, 0.498], [0.738, 0.004, 0.500], [0.245, 0.905, 0.296], [0.082, 0.864, 0.909], [0.810, 0.140, 0.906], [0.263, 0.791, 0.114], [0.034, 0.262, 0.619], [0.547, 0.776, 0.619], [0.945, 0.758, 0.390], [0.435, 0.256, 0.387], [0.788, 0.298, 0.171], [0.217, 0.688, 0.815], [0.929, 0.103, 0.074], [0.748, 0.120, 0.739]]
}

***

Entry 7:
{
  "formula": "Ca2TiAlSi2O9F",
  "functional": "GGA-PBE",
  "state": "optimized geometry",
  "raw_formation_energy_ev_per_fu": -49.56,
  "mass_density_g_cm3": 3.347,
  "sg": "P1",
  "lattice_angstrom": [[5.416, 0.000, -0.006], [-1.470, 5.276, 0.004], [-1.781, -2.406, 6.497]],
  "species": ["Si", "Si", "O", "O", "O", "O", "O", "O", "O", "O", "O", "F", "Ti", "Ca", "Ca", "Al"],
  "fractional_positions": [[0.821, 0.190, 0.757], [0.178, 0.811, 0.244], [0.131, 0.259, 0.911], [0.813, 0.389, 0.618], [0.189, 0.611, 0.384], [0.607, 0.198, 0.886], [0.745, 0.877, 0.604], [0.573, 0.434, 0.248], [0.868, 0.742, 0.088], [0.251, 0.121, 0.405], [0.389, 0.805, 0.113], [0.426, 0.567, 0.760], [0.507, 0.493, 0.479], [0.830, 0.164, 0.236], [0.172, 0.839, 0.762], [0.501, 0.499, 0.005]]
}

***

Entry 8:
{
  "formula": "Sr5CaAl2O8F2",
  "functional": "GGA-PBE",
  "state": "optimized geometry",
  "raw_formation_energy_ev_per_fu": -55.41,
  "mass_density_g_cm3": 4.525,
  "sg": "Fmm2",
  "lattice_angstrom": [[0.000, 4.815, 5.590], [4.760, 0.000, 5.590], [4.760, 4.815, 0.000]],
  "species": ["Sr", "Sr", "Sr", "Sr", "Sr", "F", "F", "O", "O", "O", "O", "O", "O", "O", "O", "Ca", "Al", "Al"],
  "fractional_positions": [[0.331, 0.669, 0.331], [0.669, 0.331, 0.669], [0.164, 0.836, 0.836], [0.255, 0.245, 0.245], [0.755, 0.745, 0.745], [0.995, 0.005, 0.493], [0.507, 0.493, 0.005], [0.991, 0.714, 0.292], [0.212, 0.496, 0.788], [0.794, 0.500, 0.206], [0.504, 0.788, 0.496], [0.500, 0.206, 0.500], [0.003, 0.292, 0.714], [0.708, 0.997, 0.009], [0.286, 0.009, 0.997], [0.825, 0.175, 0.175], [0.750, 0.749, 0.250], [0.251, 0.250, 0.749]]
}

***

Entry 9:
{
  "formula": "Ca2AlPbF9",
  "functional": "GGA-PBE",
  "state": "optimized geometry",
  "raw_formation_energy_ev_per_fu": -45.20,
  "mass_density_g_cm3": 4.478,
  "sg": "P-1",
  "lattice_angstrom": [[5.448, -0.016, 0.010], [-0.179, 5.450, -0.011], [-2.351, -0.405, 12.121]],
  "species": ["Pb", "Pb", "F", "F", "F", "F", "F", "F", "F", "F", "F", "F", "F", "F", "F", "F", "F", "F", "F", "F", "Al", "Al", "Ca", "Ca", "Ca", "Ca"],
  "fractional_positions": [[0.270, 0.285, 0.105], [0.730, 0.715, 0.895], [0.146, 0.957, 0.904], [0.251, 0.513, 0.506], [0.252, 0.009, 0.501], [0.749, 0.487, 0.494], [0.854, 0.043, 0.096], [0.745, 0.548, 0.276], [0.087, 0.889, 0.280], [0.748, 0.991, 0.499], [0.913, 0.111, 0.720], [0.505, 0.698, 0.093], [0.745, 0.612, 0.709], [0.961, 0.592, 0.100], [0.255, 0.388, 0.291], [0.633, 0.997, 0.265], [0.495, 0.302, 0.907], [0.367, 0.003, 0.735], [0.039, 0.408, 0.900], [0.255, 0.452, 0.724], [0.800, 0.790, 0.183], [0.200, 0.210, 0.817], [0.550, 0.267, 0.613], [0.960, 0.241, 0.387], [0.040, 0.759, 0.613], [0.450, 0.733, 0.387]]
}

***

Entry 10:
{
  "formula": "Rb2CaAlF6",
  "functional": "GGA-PBE",
  "state": "optimized geometry",
  "raw_formation_energy_ev_per_fu": -30.21,
  "mass_density_g_cm3": 3.485,
  "sg": "I4/mmm",
  "lattice_angstrom": [[6.268, 0.000, 0.000], [0.000, 6.268, 0.000], [3.134, 3.134, 4.269]],
  "species": ["F", "F", "F", "F", "F", "F", "Rb", "Rb", "Ca", "Al"],
  "fractional_positions": [[0.713, 0.713, 0.000], [0.725, 0.725, 0.551], [0.713, 0.287, 0.000], [0.275, 0.275, 0.449], [0.287, 0.713, 0.000], [0.287, 0.287, 0.000], [0.750, 0.250, 0.500], [0.250, 0.750, 0.500], [0.000, 0.000, 0.000], [0.500, 0.500, 0.000]]
}

***

Entry 11:
{
  "formula": "RbCaAlF6",
  "functional": "GGA-PBE",
  "state": "optimized geometry",
  "raw_formation_energy_ev_per_fu": -32.00,
  "mass_density_g_cm3": 3.107,
  "sg": "Imma",
  "lattice_angstrom": [[-6.165, -3.373, 3.196], [4.047, -5.880, 1.601], [2.255, 6.664, 2.059]],
  "species": ["F", "F", "F", "F", "F", "F", "F", "F", "F", "F", "F", "F", "Ca", "Ca", "Al", "Al", "Rb", "Rb"],
  "fractional_positions": [[0.538, 0.381, 0.745], [0.793, 0.136, 0.255], [0.207, 0.864, 0.745], [0.793, 0.619, 0.255], [0.462, 0.136, 0.255], [0.518, 0.768, 0.036], [0.462, 0.619, 0.255], [0.141, 0.891, 0.282], [0.482, 0.232, 0.964], [0.538, 0.864, 0.745], [0.207, 0.381, 0.745], [0.859, 0.109, 0.718], [0.000, 0.000, 0.500], [0.500, 0.000, 0.500], [0.500, 0.500, 0.000], [0.500, 0.000, 0.000], [0.147, 0.397, 0.294], [0.853, 0.603, 0.706]]
}

***

Entry 12:
{
  "formula": "RbCaAl2F8",
  "functional": "GGA-PBE",
  "state": "optimized geometry",
  "raw_formation_energy_ev_per_fu": -39.20,
  "mass_density_g_cm3": 2.227,
  "sg": "R-3",
  "lattice_angstrom": [[5.621, 0.000, 0.000], [2.811, 4.868, 0.000], [2.811, 1.623, 9.032]],
  "species": ["F", "F", "F", "F", "F", "F", "F", "F", "Al", "Al", "Ca", "Rb"],
  "fractional_positions": [[0.974, 0.408, 0.847], [0.408, 0.771, 0.847], [0.803, 0.803, 0.590], [0.592, 0.229, 0.153], [0.026, 0.592, 0.153], [0.229, 0.026, 0.153], [0.197, 0.197, 0.410], [0.771, 0.974, 0.847], [0.741, 0.741, 0.778], [0.259, 0.259, 0.222], [0.000, 0.000, 0.000], [0.500, 0.500, 0.500]]
}

***

Entry 13:
{
  "formula": "SrCa2AlF",
  "functional": "GGA-PBE",
  "state": "optimized geometry",
  "raw_formation_energy_ev_per_fu": -5.60,
  "mass_density_g_cm3": 2.744,
  "sg": "P4/mmm",
  "lattice_angstrom": [[-0.113, 2.192, -4.503], [1.595, -4.254, -2.110], [-4.884, -1.524, -0.619]],
  "species": ["Ca", "Ca", "Al", "Sr", "F"],
  "fractional_positions": [[0.500, 0.000, 0.000], [0.000, 0.500, 0.000], [0.500, 0.500, 0.500], [0.000, 0.000, 0.500], [0.000, 0.000, 0.000]]
}

***

Entry 14:
{
  "formula": "CaAl2TeF",
  "functional": "GGA-PBE",
  "state": "optimized geometry",
  "raw_formation_energy_ev_per_fu": -3.73,
  "mass_density_g_cm3": 3.302,
  "sg": "P4/mmm",
  "lattice_angstrom": [[4.435, 0.000, 0.000], [0.000, 6.152, 0.000], [0.000, 0.000, 4.435]],
  "species": ["Al", "Al", "Te", "F", "Ca"],
  "fractional_positions": [[0.500, 0.000, 0.000], [0.000, 0.000, 0.500], [0.000, 0.500, 0.000], [0.000, 0.000, 0.000], [0.500, 0.500, 0.500]]
}

***

Entry 15:
{
  "formula": "Ca2TiAlF",
  "functional": "GGA-PBE",
  "state": "optimized geometry",
  "raw_formation_energy_ev_per_fu": -1.51,
  "mass_density_g_cm3": 2.023,
  "sg": "P4/mmm",
  "lattice_angstrom": [[-2.171, 4.074, 3.963], [-3.577, -0.647, -1.295], [-0.703, -4.402, 4.140]],
  "species": ["Al", "Ti", "Ca", "Ca", "F"],
  "fractional_positions": [[0.500, 0.500, 0.500], [0.000, 0.000, 0.000], [0.000, 0.000, 0.500], [0.500, 0.000, 0.000], [0.000, 0.500, 0.000]]
}

***

Entry 16:
{
  "formula": "CaAl2TlF8",
  "functional": "GGA-PBE",
  "state": "optimized geometry",
  "raw_formation_energy_ev_per_fu": -37.77,
  "mass_density_g_cm3": 3.010,
  "sg": "R-3",
  "lattice_angstrom": [[5.941, 0.000, 0.000], [2.971, 5.145, 0.000], [2.971, 1.715, 8.127]],
  "species": ["F", "F", "F", "F", "F", "F", "F", "F", "Tl", "Ca", "Al", "Al"],
  "fractional_positions": [[0.862, 0.886, 0.840], [0.185, 0.185, 0.446], [0.413, 0.862, 0.840], [0.587, 0.138, 0.160], [0.886, 0.413, 0.840], [0.114, 0.587, 0.160], [0.815, 0.815, 0.554], [0.138, 0.114, 0.160], [0.500, 0.500, 0.500], [0.000, 0.000, 0.000], [0.253, 0.253, 0.240], [0.747, 0.747, 0.760]]
}

***

Entry 17:
{
  "formula": "Ca2AlTlF8",
  "functional": "GGA-PBE",
  "state": "optimized geometry",
  "raw_formation_energy_ev_per_fu": -40.64,
  "mass_density_g_cm3": 4.080,
  "sg": "P-1",
  "lattice_angstrom": [[-0.841, 3.712, -3.376], [-3.957, -2.436, -1.944], [-4.536, 3.368, 4.728]],
  "species": ["F", "F", "F", "F", "F", "F", "F", "F", "Tl", "Ca", "Ca", "Al"],
  "fractional_positions": [[0.726, 0.749, 0.999], [0.274, 0.251, 0.001], [0.168, 0.799, 0.174], [0.603, 0.716, 0.497], [0.823, 0.194, 0.172], [0.177, 0.806, 0.828], [0.397, 0.284, 0.503], [0.832, 0.201, 0.826], [0.000, 0.000, 0.500], [0.499, 0.499, 0.759], [0.501, 0.501, 0.241], [0.000, 0.000, 0.000]]
}

***

Entry 18:
{
  "formula": "Ca3AlFe",
  "functional": "GGA-PBE",
  "state": "optimized geometry",
  "e_above_lowest_polymorph_mev_per_atom": 0.0,
  "ef_ev_per_atom": 0.516,
  "mass_density_g_cm3": 2.269,
  "sg": "Pm-3m",
  "lattice_angstrom": [[5.297, 0.000, 0.000], [0.000, 5.297, 0.000], [0.000, 0.000, 5.297]],
  "species": ["Ca", "Ca", "Ca", "Al", "Fe"],
  "fractional_positions": [[0.500, 0.000, 0.000], [0.000, 0.500, 0.000], [0.000, 0.000, 0.500], [0.500, 0.500, 0.500], [0.000, 0.000, 0.000]]
}

***

Entry 19:
{
  "formula": "Ca2AlFe",
  "functional": "GGA-PBE",
  "state": "optimized geometry",
  "ef_ev_per_atom": 0.097,
  "mass_density_g_cm3": 2.413,
  "sg": "R3m",
  "lattice_angstrom": [[7.551, -0.155, -0.094], [6.434, 3.954, -0.094], [6.434, 1.748, 3.548]],
  "species": ["Ca", "Ca", "Al", "Fe"],
  "fractional_positions": [[0.035, 0.035, 0.035], [0.215, 0.215, 0.215], [0.792, 0.792, 0.792], [0.458, 0.458, 0.458]]
}

***

Entry 20:
{
  "formula": "CaAl6Fe6",
  "functional": "GGA-PBE",
  "state": "optimized geometry",
  "ef_ev_per_atom": -0.299,
  "mass_density_g_cm3": 4.845,
  "sg": "Immm",
  "lattice_angstrom": [[4.639, 0.000, 1.854], [2.274, 6.069, 1.041], [0.067, -0.022, 6.564]],
  "species": ["Fe", "Fe", "Fe", "Fe", "Fe", "Fe", "Al", "Al", "Al", "Al", "Al", "Al", "Ca"],
  "fractional_positions": [[0.000, 0.500, 0.000], [0.500, 0.500, 0.000], [0.500, 0.000, 0.500], [0.000, 0.000, 0.500], [0.500, 0.756, 0.244], [0.500, 0.244, 0.756], [0.311, 0.189, 0.189], [0.345, 0.655, 0.655], [0.000, 0.332, 0.668], [0.689, 0.811, 0.811], [0.000, 0.668, 0.332], [0.655, 0.345, 0.345], [0.000, 0.000, 0.000]]
}